1.
The following is a meta-GGA SCAN calculation of a PBEsol-optimized structure of Cr3B7ClO13, from the Alexandria database.

Lattice parameters (Å, degrees): 12.073 12.073 12.073 90.00 90.00 90.00
Space group F-43c (No. 219)
Unique sites:
Cr 0.000 0.000 0.250 (multiplicity 24)
B 0.000 0.250 0.250 (multiplicity 24)
B 0.170 0.170 0.170 (multiplicity 32)
Cl 0.000 0.000 0.000 (multiplicity 8)
O 0.070 0.152 0.232 (multiplicity 96)
O 0.250 0.250 0.250 (multiplicity 8)

***

2.
The following is a meta-GGA SCAN calculation of a PBEsol-optimized structure of Cs3BCl, from the Alexandria database.

Lattice parameters (Å, degrees): 6.418 6.418 6.418 90.00 90.00 90.00
Space group Pm-3m (No. 221)
Unique sites:
Cs 0.000 0.000 0.500 (multiplicity 3)
B 0.500 0.500 0.500 (multiplicity 1)
Cl 0.000 0.000 0.000 (multiplicity 1)

***

3.
The following is a meta-GGA SCAN calculation of a PBEsol-optimized structure of CsB6Cl6, from the Alexandria database.

Lattice parameters (Å, degrees): 9.5019 9.5019 45.9348 90.00 90.00 120.00
Space group R-3 (No. 148, hexagonal axes)
Unique sites:
Cs 0.0000 0.0000 0.1266 (multiplicity 6)
Cs 0.0000 0.0000 0.2914 (multiplicity 6)
B 0.0233 0.1186 0.5294 (multiplicity 18)
B 0.0302 0.9099 0.9707 (multiplicity 18)
B 0.0375 0.1904 0.4929 (multiplicity 18)
B 0.0485 0.8539 0.0070 (multiplicity 18)
Cl 0.0190 0.7434 0.1818 (multiplicity 18)
Cl 0.0328 0.2686 0.6517 (multiplicity 18)
Cl 0.0475 0.2441 0.5600 (multiplicity 18)
Cl 0.0622 0.8151 0.9397 (multiplicity 18)

***

no.,uncorrected formation energy (eV/atom)
1,-2.47
2,-0.03
3,-1.06